# 1
The following is a DFT calculation (PBE) of a relaxed structure of AcGeHIr.

The structure in CIF format:
```
data_AcGeHIr
_space_group_name_H-M_alt 'P 1'
_space_group_IT_number 1
_space_group_name_Hall 'P 1'
_cell_length_a 4.2535
_cell_length_b 4.2535
_cell_length_c 8.2789
_cell_angle_alpha 90.00
_cell_angle_beta 90.00
_cell_angle_gamma 90.00
loop_
_atom_site_label
_atom_site_fract_x
_atom_site_fract_y
_atom_site_fract_z
Ac1 0.2500 0.2500 0.1735
Ac2 0.7500 0.7500 0.8265
Ge1 0.2500 0.2500 0.6629
Ge2 0.7500 0.7500 0.3371
H1 0.2500 0.7500 0.0000
H2 0.7500 0.2500 0.0000
Ir1 0.2500 0.7500 0.5000
Ir2 0.7500 0.2500 0.5000
```

Properties
SG: No. 129
electronic total energy: -5.965 eV/atom


# 2
The following is a DFT calculation (PBE) of a relaxed structure of SnHg3S4.

The structure in CIF format:
```
data_SnHg3S4
_space_group_name_H-M_alt 'P 1'
_space_group_IT_number 1
_space_group_name_Hall 'P 1'
_cell_length_a 8.5134
_cell_length_b 7.3807
_cell_length_c 7.2743
_cell_angle_alpha 90.00
_cell_angle_beta 90.00
_cell_angle_gamma 90.00
loop_
_atom_site_label
_atom_site_fract_x
_atom_site_fract_y
_atom_site_fract_z
Sn1 0.0000 0.1660 0.0000
Sn2 0.5000 0.8340 0.5000
Hg1 0.0000 0.8233 0.5081
Hg2 0.2478 0.6644 0.0091
Hg3 0.2522 0.3356 0.5091
Hg4 0.5000 0.1767 0.0081
Hg5 0.7478 0.3356 0.5091
Hg6 0.7522 0.6644 0.0091
S1 0.0000 0.1623 0.5969
S2 0.0000 0.8213 0.1467
S3 0.2437 0.6611 0.6476
S4 0.2563 0.3389 0.1476
S5 0.5000 0.1787 0.6467
S6 0.5000 0.8377 0.0969
S7 0.7437 0.3389 0.1476
S8 0.7563 0.6611 0.6476
```

Properties
SG: No. 31
formation energy (no corrections): -131.7 meV per atom